# 1
First-principles (PBE) data for a relaxed structure of Pm2Sm4Er, as listed in the Alexandria database.

Geometry as POSCAR:
```
Pm2Sm4Er
1.0
6.183 0.000 -0.239
0.000 6.673 0.000
-2.341 0.000 11.457
Pm Sm Er
4 8 2
Direct
0.604 0.750 0.993 Pm
0.396 0.250 0.007 Pm
0.286 0.250 0.424 Pm
0.714 0.750 0.576 Pm
0.648 0.510 0.286 Sm
0.032 0.750 0.861 Sm
0.968 0.250 0.139 Sm
0.648 0.990 0.286 Sm
0.848 0.250 0.551 Sm
0.352 0.010 0.714 Sm
0.352 0.490 0.714 Sm
0.152 0.750 0.449 Sm
0.143 0.750 0.161 Er
0.857 0.250 0.839 Er
```

Summary:
calculated volume	468.97	Å³/cell
energy above the most stable polymorph in this dataset	0	meV per atom
crystal system	monoclinic
energy of formation from the pure elements	84	kJ/mol of formula units

---

# 2
First-principles (PBE) data for a relaxed structure of CaH3, as listed in the Alexandria database.

Geometry as POSCAR:
```
CaH3
1.0
-1.880 2.166 2.339
-2.690 -2.539 0.189
3.493 -0.944 0.754
H Ca
3 1
Direct
0.250 0.666 0.499 H
0.500 0.417 0.000 H
0.750 0.167 0.501 H
0.000 0.917 0.000 Ca
```

Summary:
calculated volume	35.77	Å³/cell
crystal system	tetragonal
calculated total energy	-3.1115	eV per atom

---

# 3
First-principles (PBE) data for a relaxed structure of LiTi2Tc2, as listed in the Alexandria database.

Geometry as POSCAR:
```
LiTi2Tc2
1.0
7.207 0.000 0.000
0.000 7.207 0.000
0.000 0.000 3.075
Li Tc Ti
2 4 4
Direct
0.000 0.000 0.000 Li
0.500 0.500 0.000 Li
0.353 0.853 0.000 Tc
0.853 0.647 0.000 Tc
0.647 0.147 0.000 Tc
0.147 0.353 0.000 Tc
0.150 0.650 0.500 Ti
0.650 0.850 0.500 Ti
0.850 0.350 0.500 Ti
0.350 0.150 0.500 Ti
```

Summary:
calculated volume	159.74	Å³/cell
crystal system	tetragonal
energy of formation from the pure elements	12	kJ/mol of formula units

---

# 4
First-principles (PBE) data for a relaxed structure of Pm2Er3Rh2, as listed in the Alexandria database.

Geometry as POSCAR:
```
Pm2Er3Rh2
1.0
-0.111 0.573 3.717
-1.302 -6.156 -0.994
8.734 2.142 -0.069
Pm Er Rh
2 3 2
Direct
0.836 0.672 0.193 Pm
0.164 0.328 0.807 Pm
0.500 0.000 0.000 Er
0.617 0.235 0.430 Er
0.383 0.765 0.570 Er
0.828 0.656 0.758 Rh
0.172 0.344 0.242 Rh
```

Summary:
calculated volume	184.20	Å³/cell
crystal system	monoclinic
energy of formation from the pure elements	-388	kJ/mol of formula units